Entry 1:
Ba2SrMgIr | PBE | optimized geometry

Lattice parameters (Å, degrees): 6.1179 6.1179 5.8988 90.00 90.00 90.00
Closest atoms and distances in Å follow each position.
Fractional positions:
Sr 0.0000 0.0000 0.5000  2 Ir 2.95
Mg 0.5000 0.5000 0.5000  8 Ba 4.25, 4 Sr 4.33
Ir 0.0000 0.0000 0.0000  2 Sr 2.95, 4 Ba 3.06
Ba 0.0000 0.5000 0.0000  2 Ir 3.06
Ba 0.5000 0.0000 0.0000  2 Ir 3.06

Results
Calculated volume (Å³/cell): 220.8
Magnetic moment (μB per atom): 0.000
Calculated formation energy (eV/atom): -0.053
Offset from the most stable computed form (eV/f.u.): 0.000



Entry 2:
ErTcB3 | PBE | optimized geometry

Lattice parameters (Å, degrees): 3.6524 3.1033 9.7631 90.00 100.78 90.00
Closest atoms and distances in Å follow each position.
Fractional positions:
Er 0.9238 0.7500 0.8475  12 B 2.60-2.66
Er 0.0762 0.2500 0.1525  12 B 2.60-2.66
Tc 0.2074 0.7500 0.4147  7 B 2.22-2.47
Tc 0.7926 0.2500 0.5853  7 B 2.22-2.47
B 0.6283 0.7500 0.2567  3 B 1.81-2.02
B 0.3717 0.2500 0.7433  3 B 1.81-2.02
B 0.5230 0.7500 0.0460  2 B 1.79
B 0.4770 0.2500 0.9540  2 B 1.79
B 0.6768 0.2500 0.3536  2 B 1.81
B 0.3232 0.7500 0.6464  2 B 1.81

Results
Calculated volume (Å³/cell): 108.7
Magnetic moment (μB per atom): 0.031
Calculated formation energy (eV/atom): -0.463